# NdHoEr2, optimized geometry, DFT PBE
# DFT formation energy (meV/atom): 9
# Raw total energy (eV per atom): -4.6093
# Total moment (μB per formula unit): 0.0
# E above lowest polymorph (meV/atom): 7
data_NdHoEr2
_cell_length_a 3.5821
_cell_length_b 3.5821
_cell_length_c 34.3620
_cell_angle_alpha 90.00
_cell_angle_beta 90.00
_cell_angle_gamma 120.00
_space_group_name_H-M_alt 'R 3 m'
_space_group_IT_number 160
_space_group_name_Hall 'R 3 -2"'
loop_
_atom_site_label
_atom_site_type_symbol
_atom_site_fract_x
_atom_site_fract_y
_atom_site_fract_z
_atom_site_occupancy
Nd1 Nd 0.0000 0.0000 0.0000 1
Ho1 Ho 0.0000 0.0000 0.1659 1
Er1 Er 0.0000 0.0000 0.4179 1
Er2 Er 0.0000 0.0000 0.5814 1